{
  "formula": "Tm2FeCo",
  "functional": "PBE-GGA",
  "state": "optimized geometry",
  "magnetic_moment_mub_per_fu": 0.357,
  "n_ef_per_ev_atom": 1.433,
  "formation_energy_ev_per_atom": -0.03,
  "de_polymorph_mev_per_atom": 19,
  "lattice": [[0.000, 3.275, 3.275], [3.275, 0.000, 3.275], [3.275, 3.275, 0.000]],
  "species": ["Tm", "Tm", "Fe", "Co"],
  "frac_coords": [[0.250, 0.250, 0.250], [0.750, 0.750, 0.750], [0.000, 0.000, 0.000], [0.500, 0.500, 0.500]]
}